SmMg2Pd2: optimized geometry, PBE-GGA.

Cell lengths 5.120, 4.798, 8.638 Å; angles 90.00, 100.46, 90.00 degrees
Fractional coordinates of all 10 atoms:
1 Sm 0.181 0.250 0.281
2 Sm 0.819 0.750 0.719
3 Mg 0.290 0.250 0.660
4 Mg 0.354 0.750 0.982
5 Mg 0.646 0.250 0.018
6 Mg 0.710 0.750 0.340
7 Pd 0.108 0.250 0.926
8 Pd 0.274 0.750 0.498
9 Pd 0.726 0.250 0.502
10 Pd 0.892 0.750 0.074


SmMg3Pd2: optimized geometry, PBE-GGA.

Cell lengths 8.457, 8.457, 8.910 Å; angles 119.23, 119.23, 28.15 degrees
Fractional coordinates of all 12 atoms:
1 Sm 0.129 0.129 0.151
2 Sm 0.871 0.871 0.849
3 Mg 0.026 0.026 0.683
4 Mg 0.322 0.322 0.109
5 Mg 0.348 0.348 0.512
6 Mg 0.652 0.652 0.488
7 Mg 0.678 0.678 0.891
8 Mg 0.974 0.974 0.317
9 Pd 0.210 0.210 0.726
10 Pd 0.498 0.498 0.153
11 Pd 0.502 0.502 0.847
12 Pd 0.790 0.790 0.274


| no. | Fermi-level density of states (states/eV per cell) | raw total energy (eV per cell) |
| --- | --- | --- |
| 1 | 3.37 | -42.88 |
| 2 | 5.21 | -46.22 |